Material: CuMo3O
Method: DFT, PBE with a Hubbard U
State: relaxed

Total moment, μB/cell: 0.0
Excess energy over the best structure of this formula in the dataset, meV/atom: 0

Unit cell a=4.120 b=4.120 c=4.120 alpha=90.00 beta=90.00 gamma=90.00
Space group Pm-3m (No. 221)
Symmetry-distinct sites (fractional):
Cu  0.000  0.000  0.000 (multiplicity 1)
Mo  0.000  0.500  0.500 (multiplicity 3)
O  0.500  0.500  0.500 (multiplicity 1)